[1]
First-principles (GGA-PBE) data for an optimized crystal structure of Na4AlZn2Sn, as listed in OQMD via LeMat-Bulk.

Unit cell a=4.9154 b=4.9154 c=7.0064 alpha=90.00 beta=90.00 gamma=90.00
Fractional coordinates of all 8 atoms:
Na 0.5000 0.0000 0.2430
Al 0.0000 0.0000 0.0000
Na 0.0000 0.5000 0.7570
Sn 0.5000 0.5000 0.5000
Na 0.5000 0.5000 0.0000
Na 0.0000 0.0000 0.5000
Zn 0.5000 0.0000 0.7652
Zn 0.0000 0.5000 0.2348



[2]
First-principles (GGA-PBE) data for an optimized crystal structure of NaTbAlTe3, as listed in OQMD via LeMat-Bulk.

Unit cell a=7.8794 b=7.8794 c=11.3166 alpha=90.00 beta=90.00 gamma=148.84
Fractional coordinates of all 12 atoms:
Te 0.1419 0.8581 0.4333
Te 0.5892 0.4108 0.7500
Al 0.9708 0.0292 0.7500
Na 0.7349 0.2651 0.2500
Tb 0.5000 0.5000 0.0000
Te 0.1419 0.8581 0.0667
Na 0.2651 0.7349 0.7500
Al 0.0292 0.9708 0.2500
Te 0.4108 0.5892 0.2500
Te 0.8581 0.1419 0.9333
Te 0.8581 0.1419 0.5667
Tb 0.5000 0.5000 0.5000



[3]
First-principles (GGA-PBE) data for an optimized crystal structure of NaAlTc, as listed in OQMD via LeMat-Bulk.

Unit cell a=4.4169 b=4.4169 c=4.4169 alpha=60.00 beta=60.00 gamma=60.00
Fractional coordinates of all 3 atoms:
Na 0.2500 0.2500 0.2500
Al 0.0000 0.0000 0.0000
Tc 0.7500 0.7500 0.7500

Its distance to the lowest polymorph of the same formula is 0 kJ/mol of formula units.



[4]
First-principles (GGA-PBE) data for an optimized crystal structure of NaZrAlTe3, as listed in OQMD via LeMat-Bulk.

Unit cell a=7.9592 b=7.9592 c=10.6118 alpha=90.00 beta=90.00 gamma=151.05
Site moments in Bohr magnetons follow the coordinates.
Fractional coordinates of all 12 atoms:
Al 0.9706 0.0294 0.7500  0.00
Zr 0.5000 0.5000 0.5000  0.23
Zr 0.5000 0.5000 0.0000  0.25
Na 0.2665 0.7335 0.7500  0.00
Te 0.1395 0.8605 0.0530  0.01
Te 0.1395 0.8605 0.4470  0.00
Na 0.7335 0.2665 0.2500  0.00
Te 0.8605 0.1395 0.9470  0.01
Te 0.4066 0.5934 0.2500  0.01
Te 0.8605 0.1395 0.5530  0.00
Te 0.5934 0.4066 0.7500  0.01
Al 0.0294 0.9706 0.2500  0.00



[5]
First-principles (GGA-PBE) data for an optimized crystal structure of NaTmAl, as listed in OQMD via LeMat-Bulk.

Unit cell a=5.0285 b=5.0285 c=5.0285 alpha=60.00 beta=60.00 gamma=60.00
Fractional coordinates of all 3 atoms:
Na 0.7500 0.7500 0.7500
Tm 0.0000 0.0000 0.0000
Al 0.2500 0.2500 0.2500



[6]
First-principles (GGA-PBE) data for an optimized crystal structure of NaAl3Zn, as listed in OQMD via LeMat-Bulk.

Unit cell a=8.3405 b=8.3405 c=8.3405 alpha=141.34 beta=60.40 gamma=135.48
Fractional coordinates of all 10 atoms:
Zn 0.2071 0.4571 0.7500
Zn 0.7929 0.5429 0.2500
Na 0.0000 0.0000 0.0000
Na 0.5000 0.0000 0.5000
Al 0.5959 0.0000 0.0959
Al 0.8150 0.0650 0.7500
Al 0.1850 0.9350 0.2500
Al 0.4041 0.0000 0.9041
Al 0.4041 0.5000 0.4041
Al 0.5959 0.5000 0.5959



[7]
First-principles (GGA-PBE) data for an optimized crystal structure of Na2AlZn, as listed in OQMD via LeMat-Bulk.

Unit cell a=4.8322 b=4.8782 c=6.9211 alpha=90.00 beta=90.00 gamma=90.00
Fractional coordinates of all 8 atoms:
Zn 0.2500 0.5000 0.1292
Al 0.7500 0.0000 0.6208
Na 0.2500 0.5000 0.6342
Na 0.7500 0.0000 0.1159
Al 0.2500 0.0000 0.3792
Na 0.7500 0.5000 0.3658
Zn 0.7500 0.5000 0.8708
Na 0.2500 0.0000 0.8841



[8]
First-principles (GGA-PBE) data for an optimized crystal structure of NbAl12, as listed in OQMD via LeMat-Bulk.

Unit cell a=6.6364 b=6.6364 c=6.6364 alpha=109.47 beta=109.47 gamma=109.47
Site moments in Bohr magnetons follow the coordinates.
Fractional coordinates of all 13 atoms:
Al 0.3103 0.1237 0.8134  0.00
Al 0.4969 0.1866 0.3103  0.00
Al 0.8134 0.6897 0.5031  0.00
Al 0.1866 0.3103 0.4969  0.00
Al 0.6897 0.8763 0.1866  0.00
Al 0.1237 0.8134 0.3103  0.00
Al 0.8763 0.1866 0.6897  0.00
Al 0.3103 0.4969 0.1866  0.00
Al 0.1866 0.6897 0.8763  0.00
Al 0.5031 0.8134 0.6897  0.00
Nb 0.0000 0.0000 0.0000  0.05
Al 0.6897 0.5031 0.8134  0.00
Al 0.8134 0.3103 0.1237  0.00



[9]
First-principles (GGA-PBE) data for an optimized crystal structure of NdNbAl, as listed in OQMD via LeMat-Bulk.

Unit cell a=4.8443 b=4.8443 c=4.8443 alpha=60.00 beta=60.00 gamma=60.00
Site moments in Bohr magnetons follow the coordinates.
Fractional coordinates of all 3 atoms:
Al 0.2500 0.2500 0.2500  -0.04
Nd 0.7500 0.7500 0.7500  0.36
Nb 0.0000 0.0000 0.0000  2.03



[10]
First-principles (GGA-PBE) data for an optimized crystal structure of NbAlNi2, as listed in OQMD via LeMat-Bulk.

Unit cell a=4.2268 b=4.2268 c=4.2268 alpha=60.00 beta=60.00 gamma=60.00
Fractional coordinates of all 4 atoms:
Nb 0.2500 0.2500 0.2500
Al 0.5000 0.5000 0.5000
Ni 0.7500 0.7500 0.7500
Ni 0.0000 0.0000 0.0000



[11]
First-principles (GGA-PBE) data for an optimized crystal structure of Nb2AlNi, as listed in OQMD via LeMat-Bulk.

Unit cell a=4.4331 b=4.4331 c=4.4331 alpha=60.00 beta=60.00 gamma=60.00
Site moments in Bohr magnetons follow the coordinates.
Fractional coordinates of all 4 atoms:
Ni 0.2500 0.2500 0.2500  0.06
Nb 0.7500 0.7500 0.7500  0.23
Nb 0.0000 0.0000 0.0000  0.04
Al 0.5000 0.5000 0.5000  0.00



[12]
First-principles (GGA-PBE) data for an optimized crystal structure of NbAl2Ni, as listed in OQMD via LeMat-Bulk.

Unit cell a=4.3841 b=4.3841 c=4.3841 alpha=60.00 beta=60.00 gamma=60.00
Fractional coordinates of all 4 atoms:
Al 0.7500 0.7500 0.7500
Al 0.5000 0.5000 0.5000
Nb 0.2500 0.2500 0.2500
Ni 0.0000 0.0000 0.0000



Sequential electronic total energy output: -1.943; -4.012; -4.177; -4.439; -2.557; -2.547; -1.808; -4.313; -5.506; -6.491; -7.321; -5.896 eV/atom